Entry 1:
# MoIr8Rh2

A relaxed MoIr8Rh2 crystal (GGA-PBE, Alexandria).

Structure (CIF):
```
data_MoIr8Rh2
_symmetry_space_group_name_H-M 'C 1 2/m 1'
_symmetry_Int_Tables_number 12
_cell_length_a 7.004
_cell_length_b 12.196
_cell_length_c 4.594
_cell_angle_alpha 90.00
_cell_angle_beta 119.63
_cell_angle_gamma 90.00
loop_
_symmetry_equiv_pos_as_xyz
'x,y,z'
'-x,-y,-z'
'-x,y,-z'
'x,-y,z'
'x+1/2,y+1/2,z'
'-x+1/2,-y+1/2,-z'
'-x+1/2,y+1/2,-z'
'x+1/2,-y+1/2,z'
loop_
_atom_site_label
_atom_site_type_symbol
_atom_site_fract_x
_atom_site_fract_y
_atom_site_fract_z
Mo1 Mo 0.000 0.000 0.000
Ir1 Ir 0.000 0.213 0.000
Ir2 Ir 0.074 0.500 0.802
Ir3 Ir 0.205 0.114 0.656
Rh1 Rh 0.000 0.309 0.500
```

- DOS(E_F): 1.131 states/eV per atom
- DFT formation energy: 294 meV per atom
- Calculated density: 17.91 g/cm3
- Volume: 15.51 Å³ per atom


Entry 2:
# Mo2IrRh9

A relaxed Mo2IrRh9 crystal (GGA-PBE, Alexandria).

Structure (CIF):
```
data_Mo2IrRh9
_symmetry_space_group_name_H-M 'P -1'
_symmetry_Int_Tables_number 2
_cell_length_a 4.731
_cell_length_b 6.112
_cell_length_c 6.115
_cell_angle_alpha 84.33
_cell_angle_beta 82.77
_cell_angle_gamma 82.73
loop_
_symmetry_equiv_pos_as_xyz
'x,y,z'
'-x,-y,-z'
loop_
_atom_site_label
_atom_site_type_symbol
_atom_site_fract_x
_atom_site_fract_y
_atom_site_fract_z
Mo1 Mo 0.250 0.092 0.408
Ir1 Ir 0.500 0.000 0.000
Rh1 Rh 0.000 0.500 0.500
Rh2 Rh 0.001 0.833 0.173
Rh3 Rh 0.250 0.415 0.084
Rh4 Rh 0.251 0.759 0.741
Rh5 Rh 0.497 0.325 0.669
```

- DOS(E_F): 1.029 states/eV per atom
- DFT formation energy: -111 meV per atom
- Calculated density: 12.55 g/cm3
- Volume: 14.45 Å³ per atom


Entry 3:
# Mo2Ir2Rh3

A relaxed Mo2Ir2Rh3 crystal (GGA-PBE, Alexandria).

Structure (CIF):
```
data_Mo2Ir2Rh3
_symmetry_space_group_name_H-M 'P 1 2/m 1'
_symmetry_Int_Tables_number 10
_cell_length_a 4.285
_cell_length_b 2.688
_cell_length_c 9.566
_cell_angle_alpha 90.00
_cell_angle_beta 102.97
_cell_angle_gamma 90.00
loop_
_symmetry_equiv_pos_as_xyz
'x,y,z'
'-x,-y,-z'
'-x,y,-z'
'x,-y,z'
loop_
_atom_site_label
_atom_site_type_symbol
_atom_site_fract_x
_atom_site_fract_y
_atom_site_fract_z
Mo1 Mo 0.076 0.000 0.154
Ir1 Ir 0.361 0.500 0.722
Rh1 Rh 0.214 0.500 0.429
Rh2 Rh 0.500 0.500 0.000
```

- DOS(E_F): 1.335 states/eV per atom
- DFT formation energy: 147 meV per atom
- Calculated density: 13.69 g/cm3
- Volume: 15.33 Å³ per atom


Entry 4:
# Mo2Ir2Rh

A relaxed Mo2Ir2Rh crystal (GGA-PBE, Alexandria).

Structure (CIF):
```
data_Mo2Ir2Rh
_symmetry_space_group_name_H-M 'I 4/m m m'
_symmetry_Int_Tables_number 139
_symmetry_space_group_name_Hall '-I 4 2'
_cell_length_a 3.725
_cell_length_b 3.725
_cell_length_c 12.151
_cell_angle_alpha 90.00
_cell_angle_beta 90.00
_cell_angle_gamma 90.00
loop_
_atom_site_label
_atom_site_type_symbol
_atom_site_fract_x
_atom_site_fract_y
_atom_site_fract_z
Mo1 Mo 0.000 0.000 0.100
Ir1 Ir 0.000 0.500 0.250
Rh1 Rh 0.000 0.000 0.500
```

- Offset from the most stable computed form: 629 meV/atom
- DOS(E_F): 0.876 states/eV per atom
- DFT formation energy: 417 meV per atom
- Calculated density: 13.38 g/cm3
- Volume: 16.86 Å³ per atom


Entry 5:
# MoIr4Rh

A relaxed MoIr4Rh crystal (GGA-PBE, Alexandria).

Structure (CIF):
```
data_MoIr4Rh
_symmetry_space_group_name_H-M 'C m m m'
_symmetry_Int_Tables_number 65
_symmetry_space_group_name_Hall '-C 2 2'
_cell_length_a 3.880
_cell_length_b 11.612
_cell_length_c 3.895
_cell_angle_alpha 90.00
_cell_angle_beta 90.00
_cell_angle_gamma 90.00
loop_
_atom_site_label
_atom_site_type_symbol
_atom_site_fract_x
_atom_site_fract_y
_atom_site_fract_z
Mo1 Mo 0.000 0.000 0.000
Ir1 Ir 0.000 0.168 0.500
Ir2 Ir 0.000 0.339 0.000
Rh1 Rh 0.000 0.500 0.500
```

- Offset from the most stable computed form: 0 meV/atom
- DOS(E_F): 0.667 states/eV per atom
- DFT formation energy: -187 meV per atom
- Calculated density: 18.31 g/cm3
- Volume: 14.62 Å³ per atom


Entry 6:
# Mo2Ir2Rh

A relaxed Mo2Ir2Rh crystal (GGA-PBE, Alexandria).

Structure (CIF):
```
data_Mo2Ir2Rh
_symmetry_space_group_name_H-M 'C 1 2/m 1'
_symmetry_Int_Tables_number 12
_cell_length_a 8.678
_cell_length_b 3.928
_cell_length_c 6.144
_cell_angle_alpha 90.00
_cell_angle_beta 134.53
_cell_angle_gamma 90.00
loop_
_symmetry_equiv_pos_as_xyz
'x,y,z'
'-x,-y,-z'
'-x,y,-z'
'x,-y,z'
'x+1/2,y+1/2,z'
'-x+1/2,-y+1/2,-z'
'-x+1/2,y+1/2,-z'
'x+1/2,-y+1/2,z'
loop_
_atom_site_label
_atom_site_type_symbol
_atom_site_fract_x
_atom_site_fract_y
_atom_site_fract_z
Mo1 Mo 0.088 0.000 0.384
Ir1 Ir 0.200 0.500 0.792
Rh1 Rh 0.000 0.500 0.000
```

- Offset from the most stable computed form: 0 meV/atom
- DOS(E_F): 0.838 states/eV per atom
- DFT formation energy: -212 meV per atom
- Calculated density: 15.11 g/cm3
- Volume: 14.93 Å³ per atom


Entry 7:
# MoIrRh

A relaxed MoIrRh crystal (GGA-PBE, Alexandria).

Structure (CIF):
```
data_MoIrRh
_symmetry_space_group_name_H-M 'P -6 m 2'
_symmetry_Int_Tables_number 187
_symmetry_space_group_name_Hall 'P -6 2'
_cell_length_a 4.3644
_cell_length_b 4.3644
_cell_length_c 2.7255
_cell_angle_alpha 90.00
_cell_angle_beta 90.00
_cell_angle_gamma 120.00
loop_
_atom_site_label
_atom_site_type_symbol
_atom_site_fract_x
_atom_site_fract_y
_atom_site_fract_z
Mo1 Mo 0.0000 0.0000 0.0000
Ir1 Ir 0.6667 0.3333 0.5000
Rh1 Rh 0.3333 0.6667 0.0000
```

- Offset from the most stable computed form: 149 meV/atom
- DOS(E_F): 1.256 states/eV per atom
- DFT formation energy: -75 meV per atom
- Calculated density: 14.44 g/cm3
- Volume: 14.99 Å³ per atom


Entry 8:
# Mo3Ir3Rh2

A relaxed Mo3Ir3Rh2 crystal (GGA-PBE, Alexandria).

Structure (CIF):
```
data_Mo3Ir3Rh2
_symmetry_space_group_name_H-M 'I m m m'
_symmetry_Int_Tables_number 71
_symmetry_space_group_name_Hall '-I 2 2'
_cell_length_a 3.899
_cell_length_b 3.903
_cell_length_c 15.589
_cell_angle_alpha 90.00
_cell_angle_beta 90.00
_cell_angle_gamma 90.00
loop_
_atom_site_label
_atom_site_type_symbol
_atom_site_fract_x
_atom_site_fract_y
_atom_site_fract_z
Mo1 Mo 0.000 0.000 0.000
Mo2 Mo 0.000 0.500 0.127
Ir1 Ir 0.000 0.000 0.500
Ir2 Ir 0.000 0.500 0.376
Rh1 Rh 0.000 0.000 0.252
```

- DOS(E_F): 0.711 states/eV per atom
- DFT formation energy: -248 meV per atom
- Calculated density: 14.98 g/cm3
- Volume: 14.83 Å³ per atom


Entry 9:
# MoIrRh

A relaxed MoIrRh crystal (GGA-PBE, Alexandria).

Structure (CIF):
```
data_MoIrRh
_symmetry_space_group_name_H-M 'F -4 3 m'
_symmetry_Int_Tables_number 216
_symmetry_space_group_name_Hall 'F -4 2 3'
_cell_length_a 5.931
_cell_length_b 5.931
_cell_length_c 5.931
_cell_angle_alpha 90.00
_cell_angle_beta 90.00
_cell_angle_gamma 90.00
loop_
_atom_site_label
_atom_site_type_symbol
_atom_site_fract_x
_atom_site_fract_y
_atom_site_fract_z
Mo1 Mo 0.000 0.000 0.000
Ir1 Ir 0.250 0.250 0.750
Rh1 Rh 0.250 0.250 0.250
```

- Offset from the most stable computed form: 428 meV/atom
- DOS(E_F): 0.469 states/eV per atom
- DFT formation energy: 204 meV per atom
- Calculated density: 12.45 g/cm3
- Volume: 17.38 Å³ per atom


Entry 10:
# Mo4IrRh

A relaxed Mo4IrRh crystal (GGA-PBE, Alexandria).

Structure (CIF):
```
data_Mo4IrRh
_symmetry_space_group_name_H-M 'F -4 3 m'
_symmetry_Int_Tables_number 216
_symmetry_space_group_name_Hall 'F -4 2 3'
_cell_length_a 7.252
_cell_length_b 7.252
_cell_length_c 7.252
_cell_angle_alpha 90.00
_cell_angle_beta 90.00
_cell_angle_gamma 90.00
loop_
_atom_site_label
_atom_site_type_symbol
_atom_site_fract_x
_atom_site_fract_y
_atom_site_fract_z
Mo1 Mo 0.124 0.124 0.124
Ir1 Ir 0.000 0.000 0.500
Rh1 Rh 0.250 0.250 0.750
```

- DOS(E_F): 0.581 states/eV per atom
- DFT formation energy: 205 meV per atom
- Calculated density: 11.82 g/cm3
- Volume: 15.89 Å³ per atom


Entry 11:
# MoIrRh4

A relaxed MoIrRh4 crystal (GGA-PBE, Alexandria).

Structure (CIF):
```
data_MoIrRh4
_symmetry_space_group_name_H-M 'C m m m'
_symmetry_Int_Tables_number 65
_symmetry_space_group_name_Hall '-C 2 2'
_cell_length_a 3.870
_cell_length_b 11.543
_cell_length_c 3.884
_cell_angle_alpha 90.00
_cell_angle_beta 90.00
_cell_angle_gamma 90.00
loop_
_atom_site_label
_atom_site_type_symbol
_atom_site_fract_x
_atom_site_fract_y
_atom_site_fract_z
Mo1 Mo 0.000 0.000 0.000
Ir1 Ir 0.000 0.500 0.500
Rh1 Rh 0.000 0.164 0.500
Rh2 Rh 0.000 0.339 0.000
```

- Offset from the most stable computed form: 0 meV/atom
- DOS(E_F): 0.834 states/eV per atom
- DFT formation energy: -190 meV per atom
- Calculated density: 13.39 g/cm3
- Volume: 14.46 Å³ per atom


Entry 12:
# MoIrRh

A relaxed MoIrRh crystal (GGA-PBE, Alexandria).

Structure (CIF):
```
data_MoIrRh
_symmetry_space_group_name_H-M 'I 4 m m'
_symmetry_Int_Tables_number 107
_symmetry_space_group_name_Hall 'I 4 -2'
_cell_length_a 2.764
_cell_length_b 2.764
_cell_length_c 11.621
_cell_angle_alpha 90.00
_cell_angle_beta 90.00
_cell_angle_gamma 90.00
loop_
_atom_site_label
_atom_site_type_symbol
_atom_site_fract_x
_atom_site_fract_y
_atom_site_fract_z
Mo1 Mo 0.000 0.000 0.000
Ir1 Ir 0.000 0.000 0.662
Rh1 Rh 0.000 0.000 0.336
```

- Offset from the most stable computed form: 19 meV/atom
- DOS(E_F): 0.807 states/eV per atom
- DFT formation energy: -205 meV per atom
- Calculated density: 14.63 g/cm3
- Volume: 14.79 Å³ per atom